[1]
Crystalline SrCd9Ni3 at its relaxed geometry. Source: Alexandria, functional PBE-GGA.

abc: 7.631 7.631 7.141
angles: 97.25 97.25 137.62
Fractional positions:
Sr: 0.000 0.000 0.000
Cd: 0.000 0.000 0.500
Cd: 0.024 0.669 0.673
Cd: 0.295 0.524 0.781
Cd: 0.331 0.976 0.327
Cd: 0.476 0.705 0.219
Cd: 0.524 0.295 0.781
Cd: 0.669 0.024 0.673
Cd: 0.705 0.476 0.219
Cd: 0.976 0.331 0.327
Ni: 0.000 0.500 0.000
Ni: 0.500 0.000 0.000
Ni: 0.500 0.500 0.500

Summary:
Density of states at the Fermi level in states/eV per atom: 0.4557
Formation energy in eV per atom: -0.0833
M_tot in μB/f.u.: 0.000

---

[2]
Crystalline Sr2CdNi2 at its relaxed geometry. Source: Alexandria, functional PBE-GGA.

abc: 3.556 3.556 19.769
angles: 90.00 90.00 90.00
Fractional positions:
Sr: 0.000 0.000 0.127
Sr: 0.000 0.000 0.873
Sr: 0.500 0.500 0.373
Sr: 0.500 0.500 0.627
Cd: 0.000 0.000 0.500
Cd: 0.500 0.500 0.000
Ni: 0.000 0.500 0.250
Ni: 0.000 0.500 0.750
Ni: 0.500 0.000 0.250
Ni: 0.500 0.000 0.750

Summary:
Density of states at the Fermi level in states/eV per atom: 1.0843
Formation energy in eV per atom: 0.0983
M_tot in μB/f.u.: 0.379

---

[3]
Crystalline SrCdTcNi2 at its relaxed geometry. Source: Alexandria, functional PBE-GGA.

abc: 4.776 4.776 5.572
angles: 90.00 90.00 90.00
Fractional positions:
Sr: 0.000 0.000 0.000
Cd: 0.000 0.000 0.500
Tc: 0.500 0.500 0.000
Ni: 0.000 0.500 0.500
Ni: 0.500 0.000 0.500

Summary:
Density of states at the Fermi level in states/eV per atom: 1.1196
Formation energy in eV per atom: 1.5415
M_tot in μB/f.u.: 3.314